1.
An optimized crystal structure of GaBiSeBr2, computed with PBEsol.

Cell: 5.002 5.002 5.109 Å, 90.00 90.00 90.00°
Space group P4/mmm (No. 123)
Unique sites:
Ga (0.000, 0.000, 0.000) (multiplicity 1)
Bi (0.500, 0.500, 0.500) (multiplicity 1)
Se (0.000, 0.000, 0.500) (multiplicity 1)
Br (0.000, 0.500, 0.000) (multiplicity 2)

Output
Its offset from the most stable computed form is 48 meV per atom. Its crystal system is tetragonal. The value obtained for the formation energy from raw total energies is -117 meV/atom.

=====

2.
An optimized crystal structure of Fe2CuCl, computed with PBEsol.

Cell: 2.811 2.811 6.379 Å, 90.00 90.00 90.00°
Space group P4/mmm (No. 123)
Unique sites:
Fe (0.000, 0.000, 0.240) (multiplicity 2)
Cu (0.500, 0.500, 0.000) (multiplicity 1)
Cl (0.500, 0.500, 0.500) (multiplicity 1)

Output
Its crystal system is tetragonal. The value obtained for the formation energy from raw total energies is 378 meV/atom.

=====

3.
An optimized crystal structure of Re2MoSe, computed with PBEsol.

Cell: 2.994 4.608 8.954 Å, 90.00 90.00 90.00°
Space group Cmm2 (No. 35)
Unique sites:
Re (0.000, 0.000, 0.000) (multiplicity 2)
Re (0.000, 0.500, 0.239) (multiplicity 2)
Mo (0.000, 0.000, 0.485) (multiplicity 2)
Se (0.000, 0.500, 0.733) (multiplicity 2)

Output
Its crystal system is orthorhombic. The value obtained for the formation energy from raw total energies is 542 meV/atom.

=====

no.,raw total energy (eV per atom)
1,-3.160
2,-5.689
3,-10.029